# KCrAs2 | Alexandria via LeMat-Bulk | PBE | relaxed
# Formation energy in eV/atom: 0.34
# Size of the total moment in μB per formula unit: 4.113
# Energy in eV/atom: -4.67
# Relative energy among the computed polymorphs in kcal/mol of atoms: 12.06
data_KCrAs2
_symmetry_space_group_name_H-M 'C m m m'
_symmetry_Int_Tables_number 65
_symmetry_space_group_name_Hall '-C 2 2'
_cell_length_a 6.253
_cell_length_b 8.841
_cell_length_c 3.093
_cell_angle_alpha 90.00
_cell_angle_beta 90.00
_cell_angle_gamma 90.00
loop_
_atom_site_label
_atom_site_type_symbol
_atom_site_fract_x
_atom_site_fract_y
_atom_site_fract_z
K1 K 0.000 0.000 0.000
Cr1 Cr 0.000 0.500 0.000
As1 As 0.250 0.250 0.500